Density functional theory data (GGA-PBE) for an optimized crystal structure of HfNp4S7.

Cell: 6.7688 6.7688 10.7601 Å, 103.31 103.31 32.56°
Last column: nearest neighbours and their distance in Å.
Atoms (fractional coordinates):
Hf1 0.0000 0.0000 0.0000  6 S 2.52-2.66
Np1 0.1447 0.1447 0.4170  6 S 2.67-2.81
Np2 0.2387 0.2387 0.8946  6 S 2.74-2.82
Np3 0.4492 0.4492 0.6386  8 S 2.80-2.97
Np4 0.8497 0.8497 0.2510  7 S 2.79-2.84
S1 0.1096 0.1096 0.6517  4 Np 2.67-2.80
S2 0.1849 0.1849 0.1718  1 Hf 2.66, 3 Np 2.81-2.84
S3 0.4179 0.4179 0.0976  2 Hf 2.53, 3 Np 2.78-2.80
S4 0.4907 0.4907 0.3877  5 Np 2.72-2.88, 1 S 3.04
S5 0.5880 0.5880 0.8993  2 Hf 2.58, 2 Np 2.74
S6 0.8007 0.8007 0.4897  5 Np 2.75-2.90
S7 0.8575 0.8575 0.7948  1 Hf 2.52, 2 Np 2.82

## Properties
Crystal system ... monoclinic
Final energy ... -8.904 eV per atom
Space group ... No. 8